A relaxed Cr2SiF8 crystal. Source: the Alexandria database, functional PBE+U.

Cell lengths 4.4568, 5.5844, 5.5844 Å; angles 75.54, 86.62, 86.62 degrees
Element x y z (fractional)
F: 0.1999 0.0759 0.7233
F: 0.8001 0.9241 0.2767
F: 0.7509 0.4055 0.4055
F: 0.1999 0.7233 0.0759
F: 0.2573 0.1380 0.1380
F: 0.2491 0.5945 0.5945
F: 0.7427 0.8620 0.8620
F: 0.8001 0.2767 0.9241
Si: 0.0000 0.0000 0.0000
Cr: 0.7401 0.6324 0.6324
Cr: 0.2599 0.3676 0.3676

Summary:
total DFT energy (no corrections) = -5.986 eV per atom